The following is a DFT calculation (SCAN) of a crystal of SrAuCl2 relaxed with PBEsol. Values from VASP.

```
&SYSTEM
  ibrav = 0, nat = 8, ntyp = 3
/
ATOMIC_SPECIES
Sr 87.62 Sr.upf
Au 196.97 Au.upf
Cl 35.45 Cl.upf
ATOMIC_POSITIONS crystal
Sr 0.000 0.000 0.000
Sr 0.750 0.250 0.500
Au 0.250 0.750 0.500
Au 0.500 0.500 0.000
Cl 0.148 0.625 0.023
Cl 0.375 0.398 0.523
Cl 0.602 0.125 0.977
Cl 0.875 0.852 0.477
CELL_PARAMETERS angstrom
-2.472 2.472 8.818
2.472 -2.472 8.818
2.472 2.472 -8.818
```

Values from the calculation:
spin magnetization	0.00	μB per formula unit
distance to the lowest polymorph of the same formula	107	meV per atom

The following is a DFT calculation (SCAN) of a crystal of LaNF2 relaxed with PBEsol. Values from VASP.

```
&SYSTEM
  ibrav = 0, nat = 4, ntyp = 3
/
ATOMIC_SPECIES
La 138.91 La.upf
N 14.01 N.upf
F 19.00 F.upf
ATOMIC_POSITIONS crystal
La 0.000 0.000 0.000
N 0.500 0.500 0.500
F 0.250 0.250 0.250
F 0.750 0.750 0.750
CELL_PARAMETERS angstrom
0.000 2.929 2.929
2.929 0.000 2.929
2.929 2.929 0.000
```

Values from the calculation:
spin magnetization	2.00	μB per formula unit

Number 1: calculated total energy -28.088 eV per atom, formation energy from raw total energies -1241 meV per atom. Number 2: calculated total energy -17.110 eV per atom, formation energy from raw total energies -2241 meV per atom.